(1)
# Li3Gd3Sn2Ge

Li3Gd3Sn2Ge after structural relaxation (PBE-GGA, OQMD via LeMat-Bulk).

The structure belongs to space group P-62m (No. 189); the cell edges are 7.3332, 7.3332 and 4.5036 Å and the angles 90.00°, 90.00° and 120.00°. Symmetry generates all atoms from Li at (0.0000, 0.2252, 0.0000), Gd at (0.0000, 0.5900, 0.5000), Sn at (0.3333, 0.6667, 0.0000) and Ge at (0.0000, 0.0000, 0.5000).

The value obtained for the total DFT energy (no corrections) is -4.242 eV per atom.



(2)
# GdLu2Ge7

GdLu2Ge7 after structural relaxation (PBE-GGA, OQMD via LeMat-Bulk).

The structure belongs to space group Cmmm (No. 65); the cell edges are 4.081, 23.806 and 4.163 Å and the angles 90.00°, 90.00° and 90.00°. Symmetry generates all atoms from Gd at (0.000, 0.000, 0.000), Lu at (0.000, 0.185, 0.000), Ge at (0.000, 0.097, 0.500), Ge at (0.000, 0.287, 0.500), Ge at (0.000, 0.404, 0.000) and Ge at (0.000, 0.500, 0.500).

The value obtained for the total DFT energy (no corrections) is -5.096 eV per atom.



(3)
# GdLuNb2Ge2

GdLuNb2Ge2 after structural relaxation (PBE-GGA, OQMD via LeMat-Bulk).

The structure belongs to space group P4mm (No. 99); the cell edges are 4.027, 4.027 and 7.820 Å and the angles 90.00°, 90.00° and 90.00°. Symmetry generates all atoms from Gd at (0.000, 0.000, 0.000), Lu at (0.500, 0.500, 0.296), Nb at (0.000, 0.500, 0.642), Ge at (0.000, 0.000, 0.394) and Ge at (0.500, 0.500, 0.889).

The value obtained for the total DFT energy (no corrections) is -7.064 eV per atom.



(4)
# GdLuTa2Ge2

GdLuTa2Ge2 after structural relaxation (PBE-GGA, OQMD via LeMat-Bulk).

The structure belongs to space group P4mm (No. 99); the cell edges are 4.018, 4.018 and 7.792 Å and the angles 90.00°, 90.00° and 90.00°. Symmetry generates all atoms from Gd at (0.000, 0.000, 0.000), Lu at (0.500, 0.500, 0.297), Ta at (0.000, 0.500, 0.643), Ge at (0.000, 0.000, 0.395) and Ge at (0.500, 0.500, 0.890).

The value obtained for the total DFT energy (no corrections) is -7.600 eV per atom.



(5)
# GdMgGe

GdMgGe after structural relaxation (PBE-GGA, OQMD via LeMat-Bulk).

The structure belongs to space group F-43m (No. 216); the cell edges are 6.886, 6.886 and 6.886 Å and the angles 90.00°, 90.00° and 90.00°. Symmetry generates all atoms from Gd at (0.000, 0.000, 0.000), Mg at (0.250, 0.250, 0.250) and Ge at (0.250, 0.250, 0.750).

The value obtained for the total DFT energy (no corrections) is -3.600 eV per atom.



(6)
# GdMgGe

GdMgGe after structural relaxation (PBE-GGA, OQMD via LeMat-Bulk).

The structure belongs to space group F-43m (No. 216); the cell edges are 6.674, 6.674 and 6.674 Å and the angles 90.00°, 90.00° and 90.00°. Symmetry generates all atoms from Gd at (0.000, 0.000, 0.000), Mg at (0.000, 0.000, 0.500) and Ge at (0.250, 0.250, 0.250).

The value obtained for the total DFT energy (no corrections) is -4.086 eV per atom.



(7)
# NdGdMg6Ge3

NdGdMg6Ge3 after structural relaxation (PBE-GGA, OQMD via LeMat-Bulk).

The structure belongs to space group P-6 (No. 174); the cell edges are 8.1791, 8.1791 and 4.3061 Å and the angles 90.00°, 90.00° and 120.00°. Symmetry generates all atoms from Nd at (0.0000, 0.0000, 0.0000), Gd at (0.6667, 0.3333, 0.0000), Mg at (0.0468, 0.6681, 0.5000), Mg at (0.1263, 0.4621, 0.0000) and Ge at (0.3387, 0.0631, 0.5000).

The value obtained for the total DFT energy (no corrections) is -3.316 eV per atom.



(8)
# GdMgGePd

GdMgGePd after structural relaxation (PBE-GGA, OQMD via LeMat-Bulk).

The structure belongs to space group C2/m (No. 12); the cell edges are 15.279, 3.969 and 6.158 Å and the angles 90.00°, 103.15° and 90.00°. Symmetry generates all atoms from Gd at (0.142, 0.000, 0.061), Mg at (0.126, 0.500, 0.581), Ge at (0.003, 0.500, 0.195) and Pd at (0.245, 0.000, 0.662).

Its energy relative to the lowest polymorph listed for this composition is 0.000 eV per atom. The value obtained for the total DFT energy (no corrections) is -4.533 eV per atom.



> total DFT energy (no corrections) of number 7 (NdGdMg6Ge3)?

-3.316 eV per atom